[1]
VASP calculation (PBE) on a relaxed TiGaReMo crystal.

abc: 4.431 4.431 4.431
angles: 60.00 60.00 60.00
Positions (direct):
1 Ti 0.000 0.000 0.000
2 Ga 0.750 0.750 0.750
3 Re 0.250 0.250 0.250
4 Mo 0.500 0.500 0.500

Computed properties:
**Space-group type**: No. 216
**Density of states at the Fermi level**: 3.91 states/eV per cell
**E_tot**: -8.6956 eV per atom

***

[2]
VASP calculation (PBE) on a relaxed GaReMoW crystal.

abc: 4.435 4.435 4.435
angles: 60.00 60.00 60.00
Positions (direct):
1 Ga 0.000 0.000 0.000
2 Re 0.750 0.750 0.750
3 Mo 0.250 0.250 0.250
4 W 0.500 0.500 0.500

Computed properties:
**Space-group type**: No. 216
**Density of states at the Fermi level**: 3.76 states/eV per cell
**E_tot**: -9.7259 eV per atom

***

[3]
VASP calculation (PBE) on a relaxed GaMoRh crystal.

abc: 6.964 6.964 3.186
angles: 90.00 90.00 145.11
Positions (direct):
1 Ga 0.165 0.835 0.000
2 Ga 0.835 0.165 0.000
3 Mo 0.000 0.000 0.500
4 Mo 0.500 0.500 0.000
5 Rh 0.328 0.672 0.500
6 Rh 0.672 0.328 0.500

Computed properties:
**Space-group type**: No. 65
**Density of states at the Fermi level**: 3.75 states/eV per cell
**E_tot**: -7.3911 eV per atom

***

[4]
VASP calculation (PBE) on a relaxed GaMoRh crystal.

abc: 5.268 5.268 4.257
angles: 90.00 90.00 131.69
Positions (direct):
1 Ga 0.249 0.751 0.750
2 Ga 0.751 0.249 0.250
3 Mo 0.426 0.574 0.250
4 Mo 0.574 0.426 0.750
5 Rh 0.097 0.903 0.250
6 Rh 0.903 0.097 0.750

Computed properties:
**Space-group type**: No. 63
**Density of states at the Fermi level**: 2.73 states/eV per cell
**E_tot**: -7.4030 eV per atom

***

[5]
VASP calculation (PBE) on a relaxed GaMo2Rh2 crystal.

abc: 7.583 7.583 2.779
angles: 90.00 90.00 90.00
Positions (direct):
1 Ga 0.000 0.000 0.000
2 Ga 0.500 0.500 0.000
3 Mo 0.170 0.330 0.500
4 Mo 0.330 0.830 0.500
5 Mo 0.670 0.170 0.500
6 Mo 0.830 0.670 0.500
7 Rh 0.125 0.625 0.000
8 Rh 0.375 0.125 0.000
9 Rh 0.625 0.875 0.000
10 Rh 0.875 0.375 0.000

Computed properties:
**Space-group type**: No. 127
**Density of states at the Fermi level**: 9.37 states/eV per cell
**E_tot**: -7.8358 eV per atom

***

[6]
VASP calculation (PBE) on a relaxed GaMo2Rh crystal.

abc: 10.068 10.068 10.068
angles: 159.11 159.11 29.71
Positions (direct):
1 Ga 0.000 0.000 0.000
2 Ga 0.750 0.250 0.500
3 Mo 0.114 0.625 0.989
4 Mo 0.375 0.364 0.489
5 Mo 0.636 0.125 0.011
6 Mo 0.875 0.886 0.511
7 Rh 0.250 0.750 0.500
8 Rh 0.500 0.500 0.000

Computed properties:
**Space-group type**: No. 122
**Density of states at the Fermi level**: 5.47 states/eV per cell
**E_tot**: -7.7342 eV per atom